An optimized crystal structure of CrSbS2, computed with PBE.

Structure (POSCAR):
```
CrSbS2
1.0
-5.216 -5.570 -4.537
-3.699 -7.726 -2.332
-6.463 -5.933 -1.355
Sb S Cr
1 2 1
Direct
0.526 0.526 0.526
0.127 0.127 0.127
0.655 0.655 0.655
0.944 0.944 0.944
```

- formation energy from raw total energies (eV/atom) = -0.108
- crystal system = trigonal

***

An optimized crystal structure of HfScTe3, computed with PBE.

Structure (POSCAR):
```
HfScTe3
1.0
-4.462 -2.930 -1.398
-1.079 -0.903 5.336
-3.062 4.588 0.158
Sc Te Hf
1 3 1
Direct
0.500 0.500 0.500
0.000 0.500 0.000
0.000 0.000 0.500
0.500 0.000 0.000
0.000 0.000 0.000
```

- formation energy from raw total energies (eV/atom) = -0.146
- crystal system = cubic

***

An optimized crystal structure of Ho12ThSc6, computed with PBE.

Structure (POSCAR):
```
Ho12ThSc6
1.0
9.003 0.000 0.000
-3.001 8.488 0.000
-3.001 -4.244 7.351
Ho Th Sc
12 1 6
Direct
0.265 0.068 0.803
0.265 0.462 0.197
0.735 0.538 0.803
0.735 0.932 0.197
0.068 0.803 0.265
0.462 0.197 0.265
0.538 0.803 0.735
0.932 0.197 0.735
0.803 0.265 0.068
0.197 0.265 0.462
0.803 0.735 0.538
0.197 0.735 0.932
0.000 0.000 0.000
0.362 0.500 0.862
0.638 0.500 0.138
0.500 0.862 0.362
0.500 0.138 0.638
0.862 0.362 0.500
0.138 0.638 0.500
```

- DFT formation energy (meV per atom) = 238.0
- crystal system = cubic

***

An optimized crystal structure of LiCoIr2, computed with PBE.

Structure (POSCAR):
```
LiCoIr2
1.0
2.671 0.000 0.000
0.000 3.837 0.000
0.000 0.000 5.060
Co Ir Li
1 2 1
Direct
0.500 0.500 0.743
0.000 0.000 0.997
0.500 0.500 0.253
0.000 0.000 0.506
```

- DFT formation energy (meV per atom) = 37.7
- crystal system = orthorhombic

***

An optimized crystal structure of TiSbAs3, computed with PBE.

Structure (POSCAR):
```
TiSbAs3
1.0
-2.164 -3.037 -3.204
3.714 0.676 -3.150
2.387 -3.807 1.997
Sb As Ti
1 3 1
Direct
0.500 0.500 0.500
0.000 0.500 0.000
0.000 0.000 0.500
0.500 0.000 0.000
0.000 0.000 0.000
```

- formation energy from raw total energies (eV/atom) = 0.198
- crystal system = cubic

***

An optimized crystal structure of AlCdP, computed with PBE.

Structure (POSCAR):
```
AlCdP
1.0
-2.790 -1.243 3.335
1.371 -2.998 3.096
0.809 1.340 4.243
P Al Cd
1 1 1
Direct
0.750 0.750 0.750
0.000 0.000 0.000
0.500 0.500 0.500
```

- DFT formation energy (meV per atom) = 234.2
- crystal system = cubic

***

An optimized crystal structure of As3RuPb, computed with PBE.

Structure (POSCAR):
```
As3RuPb
1.0
-0.170 0.382 4.852
-2.025 -4.420 0.277
4.425 -2.008 0.313
Pb Ru As
1 1 3
Direct
0.500 0.500 0.500
0.000 0.000 0.000
0.000 0.500 0.000
0.000 0.000 0.500
0.500 0.000 0.000
```

- DFT formation energy (meV per atom) = 374.3
- crystal system = cubic

***

An optimized crystal structure of Ho12Si5S28, computed with PBE.

Structure (POSCAR):
```
Ho12Si5S28
1.0
9.740 -0.001 -0.001
4.868 10.200 -0.036
4.868 3.761 9.499
Ho Si S
12 5 28
Direct
0.769 0.577 0.790
0.780 0.037 0.316
0.352 0.798 0.073
0.365 0.321 0.540
0.867 0.754 0.029
0.869 0.274 0.491
0.220 0.463 0.189
0.222 0.932 0.702
0.634 0.188 0.954
0.656 0.697 0.430
0.141 0.229 0.993
0.131 0.741 0.476
0.667 0.416 0.242
0.665 0.925 0.753
0.334 0.498 0.832
0.332 0.000 0.336
0.998 0.285 0.715
0.586 0.459 0.431
0.577 0.961 0.945
0.895 0.264 0.242
0.897 0.781 0.758
0.530 0.293 0.271
0.511 0.813 0.790
0.422 0.306 0.794
0.421 0.811 0.294
0.104 0.494 0.977
0.102 0.997 0.483
0.480 0.469 0.947
0.473 0.967 0.458
0.669 0.601 0.060
0.665 0.107 0.566
0.327 0.190 0.157
0.340 0.676 0.643
0.762 0.439 0.649
0.745 0.944 0.157
0.090 0.469 0.680
0.098 0.972 0.185
0.159 0.765 0.979
0.149 0.275 0.486
0.263 0.590 0.311
0.225 0.127 0.781
0.904 0.557 0.277
0.908 0.105 0.759
0.863 0.289 0.938
0.835 0.770 0.497
```

- formation energy from raw total energies (eV/atom) = -1.585
- crystal system = triclinic

***

An optimized crystal structure of Be2GaOs2, computed with PBE.

Structure (POSCAR):
```
Be2GaOs2
1.0
-2.056 -4.439 4.210
-2.740 -3.303 -4.821
2.549 -1.548 -0.388
Be Os Ga
4 4 2
Direct
0.139 0.639 0.500
0.639 0.861 0.500
0.861 0.361 0.500
0.361 0.139 0.500
0.351 0.851 0.000
0.851 0.649 0.000
0.649 0.149 0.000
0.149 0.351 0.000
0.000 0.000 0.000
0.500 0.500 0.000
```

- DFT formation energy (meV per atom) = 29.5
- crystal system = tetragonal

***

An optimized crystal structure of Zr2AlAu, computed with PBE.

Structure (POSCAR):
```
Zr2AlAu
1.0
-2.641 -0.241 -1.704
-0.567 -2.825 1.278
-4.111 3.484 5.879
Au Al Zr
1 1 2
Direct
0.500 0.500 0.720
0.000 0.000 0.526
0.000 0.000 0.982
0.500 0.500 0.273
```

- DFT formation energy (meV per atom) = -383.1
- crystal system = tetragonal

***

An optimized crystal structure of LaPd3O, computed with PBE.

Structure (POSCAR):
```
LaPd3O
1.0
-0.253 2.054 -4.733
0.631 -4.691 -2.070
-5.121 -0.680 -0.021
O Pd La
1 3 1
Direct
0.500 0.500 0.500
0.000 0.500 0.000
0.000 0.000 0.500
0.500 0.000 0.000
0.000 0.000 0.000
```

- formation energy from raw total energies (eV/atom) = 1.023
- crystal system = cubic

***

An optimized crystal structure of Ba2Sn2Te, computed with PBE.

Structure (POSCAR):
```
Ba2Sn2Te
1.0
-2.228 -7.413 -3.873
8.017 -3.035 1.197
-1.394 -1.919 4.476
Te Ba Sn
2 4 4
Direct
0.000 0.000 0.000
0.500 0.500 0.000
0.178 0.678 0.500
0.678 0.822 0.500
0.822 0.322 0.500
0.322 0.178 0.500
0.379 0.879 0.000
0.879 0.621 0.000
0.621 0.121 0.000
0.121 0.379 0.000
```

- formation energy from raw total energies (eV/atom) = -0.699
- crystal system = tetragonal

***

An optimized crystal structure of Mn2CoRe, computed with PBE.

Structure (POSCAR):
```
Mn2CoRe
1.0
-2.878 -2.290 2.504
-1.518 -4.029 1.124
2.572 -0.821 3.569
Co Mn Re
1 2 1
Direct
0.748 0.748 0.747
0.000 0.000 0.010
0.254 0.254 0.229
0.498 0.498 0.515
```

- DFT formation energy (meV per atom) = 86.0
- crystal system = monoclinic

***

An optimized crystal structure of Cd3Pd12Pt, computed with PBE.

Structure (POSCAR):
```
Cd3Pd12Pt
1.0
-2.952 -2.072 1.729
2.036 -3.392 -0.588
7.140 1.797 14.344
Cd Pd Pt
3 12 1
Direct
0.000 0.000 0.248
0.000 0.000 0.500
0.000 0.000 0.752
0.500 0.500 0.000
0.500 0.500 0.247
0.500 0.500 0.500
0.500 0.500 0.753
0.500 0.000 0.121
0.500 0.000 0.374
0.500 0.000 0.626
0.500 0.000 0.879
0.000 0.500 0.121
0.000 0.500 0.374
0.000 0.500 0.626
0.000 0.500 0.879
0.000 0.000 0.000
```

- DFT formation energy (meV per atom) = -182.1
- crystal system = tetragonal

***

An optimized crystal structure of TbPm3Th2Sb6, computed with PBE.

Structure (POSCAR):
```
TbPm3Th2Sb6
1.0
-4.190 0.625 1.487
2.715 -1.713 8.366
3.249 9.360 -1.556
Tb Pm Th Sb
1 3 2 6
Direct
0.500 0.000 0.000
0.500 0.500 0.000
0.833 0.166 0.666
0.167 0.834 0.334
0.835 0.669 0.670
0.165 0.331 0.330
0.335 0.918 0.670
0.667 0.584 0.334
0.665 0.082 0.330
0.999 0.246 0.998
0.001 0.754 0.002
0.333 0.416 0.666
```

- formation energy from raw total energies (eV/atom) = -1.101
- crystal system = monoclinic

***

An optimized crystal structure of KNaHgSb, computed with PBE.

Structure (POSCAR):
```
KNaHgSb
1.0
-1.859 1.546 -4.955
-5.144 -1.263 -1.532
-3.809 3.966 -0.401
Sb K Hg Na
1 1 1 1
Direct
0.250 0.250 0.250
0.750 0.750 0.750
0.500 0.500 0.500
0.000 0.000 0.000
```

- formation energy from raw total energies (eV/atom) = -0.257
- crystal system = cubic

***

An optimized crystal structure of Zr2CdRh2, computed with PBE.

Structure (POSCAR):
```
Zr2CdRh2
1.0
-2.046 -1.721 3.632
3.786 0.542 2.390
-0.715 4.269 4.420
Rh Zr Cd
2 2 1
Direct
0.382 0.382 0.235
0.618 0.618 0.765
0.750 0.250 0.500
0.250 0.750 0.500
0.000 0.000 0.000
```

- DFT formation energy (meV per atom) = -365.1
- crystal system = tetragonal

***

An optimized crystal structure of SmDyHo6Er2, computed with PBE.

Structure (POSCAR):
```
SmDyHo6Er2
1.0
-3.221 -7.416 4.944
7.388 -4.034 -2.306
0.248 5.250 6.968
Sm Dy Ho Er
2 2 12 4
Direct
0.250 0.974 0.026
0.750 0.026 0.974
0.250 0.409 0.591
0.750 0.591 0.409
0.057 0.123 0.751
0.443 0.249 0.877
0.943 0.877 0.249
0.557 0.751 0.123
0.317 0.981 0.433
0.183 0.567 0.019
0.683 0.019 0.567
0.817 0.433 0.981
0.119 0.708 0.492
0.381 0.508 0.292
0.881 0.292 0.508
0.619 0.492 0.708
0.454 0.802 0.697
0.046 0.303 0.198
0.546 0.198 0.303
0.954 0.697 0.802
```

- DFT formation energy (meV per atom) = 122.4
- crystal system = monoclinic

***

An optimized crystal structure of CrNiB, computed with PBE.

Structure (POSCAR):
```
CrNiB
1.0
5.691 0.000 0.000
0.000 3.012 0.000
-4.594 0.000 6.442
Ni B Cr
4 4 4
Direct
0.408 0.000 0.820
0.592 0.000 0.180
0.408 0.500 0.320
0.592 0.500 0.680
0.161 0.000 0.127
0.839 0.000 0.873
0.161 0.500 0.627
0.839 0.500 0.373
0.146 0.000 0.415
0.854 0.000 0.585
0.146 0.500 0.915
0.854 0.500 0.085
```

- DFT formation energy (meV per atom) = -320.3
- crystal system = monoclinic

***

An optimized crystal structure of K2Sb3Pt4Au, computed with PBE.

Structure (POSCAR):
```
K2Sb3Pt4Au
1.0
4.808 0.000 0.000
0.000 4.808 0.000
0.000 0.000 10.246
K Sb Pt Au
2 3 4 1
Direct
0.500 0.000 0.254
0.000 0.500 0.746
0.000 0.000 0.500
0.500 0.000 0.879
0.000 0.500 0.121
0.500 0.500 0.000
0.000 0.000 0.000
0.500 0.000 0.623
0.000 0.500 0.377
0.500 0.500 0.500
```

- formation energy from raw total energies (eV/atom) = -0.391
- crystal system = tetragonal